1.
4
Lattice="-1.713 4.546 -0.412 -3.716 -1.414 -0.148 -0.561 0.213 4.686" Properties=species:S:1:pos:R:3 comment="PBE Si2AsPb, relaxed" de_polymorph_ev_per_atom=0.1219 formation_energy_uncorrected_mev_per_atom=371 vol_a3_per_atom=22.87 m_tot_mub_per_atom=0.00 total_energy_ev_per_atom=-4.43 pbc="T T T"
Si -2.036 -0.606 1.776
Si -0.102 0.006 0.493
Pb -4.064 1.373 3.198
As -1.926 1.973 0.929

---

2.
4
Lattice="3.344 -0.041 0.000 -1.401 3.036 0.000 0.000 0.000 8.627" Properties=species:S:1:pos:R:3 comment="PBE Si2AsPb, relaxed" de_polymorph_ev_per_atom=0.3238 formation_energy_uncorrected_mev_per_atom=573 vol_a3_per_atom=21.77 m_tot_mub_per_atom=0.00 total_energy_ev_per_atom=-4.23 pbc="T T T"
Si 0.000 0.000 0.374
Si 0.000 0.000 3.940
As 0.971 1.498 2.157
Pb 0.971 1.498 6.470

---

3.
4
Lattice="6.023 0.093 0.000 3.149 5.135 0.000 -4.586 -2.614 2.902" Properties=species:S:1:pos:R:3 comment="PBE SiAs2Pb, relaxed" de_polymorph_ev_per_atom=0.4755 formation_energy_uncorrected_mev_per_atom=508 vol_a3_per_atom=22.23 m_tot_mub_per_atom=0.00 total_energy_ev_per_atom=-4.10 pbc="T T T"
Si 3.012 0.047 1.451
Pb 4.586 2.614 0.000
As 0.000 0.000 0.000
As 1.575 2.568 1.451

---

4.
4
Lattice="-2.952 1.062 -4.604 -1.468 -4.913 -2.179 -0.617 3.258 4.477" Properties=species:S:1:pos:R:3 comment="PBE Si2AsPb, relaxed" de_polymorph_ev_per_atom=0.1773 formation_energy_uncorrected_mev_per_atom=426 vol_a3_per_atom=22.09 m_tot_mub_per_atom=0.00 total_energy_ev_per_atom=-4.37 pbc="T T T"
Si -4.172 -3.635 -6.402
Si -2.906 1.183 -1.784
As -2.484 -2.165 -3.812
Pb -2.105 -1.753 -0.481